Record 1
## Hf4ZnIn (PBE)

Data for a relaxed Hf4ZnIn crystal.

CIF file:
```
data_Hf4ZnIn
_cell_length_a 6.855
_cell_length_b 6.855
_cell_length_c 5.386
_cell_angle_alpha 90.00
_cell_angle_beta 90.00
_cell_angle_gamma 90.00
_symmetry_space_group_name_H-M 'P 4/m c c'
_symmetry_Int_Tables_number 124
_symmetry_space_group_name_Hall '-P 4 2c'
loop_
_atom_site_label
_atom_site_type_symbol
_atom_site_fract_x
_atom_site_fract_y
_atom_site_fract_z
_atom_site_occupancy
Hf1 Hf 0.141 0.339 0.000 1
Zn1 Zn 0.000 0.000 0.250 1
In1 In 0.500 0.500 0.250 1
```

- E_form (meV per atom) = -43

=====

Record 2
## HfZnIn (PBE)

Data for a relaxed HfZnIn crystal.

CIF file:
```
data_HfZnIn
_cell_length_a 8.116
_cell_length_b 7.773
_cell_length_c 5.050
_cell_angle_alpha 90.00
_cell_angle_beta 128.36
_cell_angle_gamma 90.00
_symmetry_space_group_name_H-M 'C 1 c 1'
_symmetry_Int_Tables_number 9
_symmetry_space_group_name_Hall 'C -2yc'
loop_
_atom_site_label
_atom_site_type_symbol
_atom_site_fract_x
_atom_site_fract_y
_atom_site_fract_z
_atom_site_occupancy
Hf1 Hf 0.000 0.249 0.000 1
Zn1 Zn 0.249 0.500 0.000 1
In1 In 0.250 0.122 0.750 1
```

- E_form (meV per atom) = 16

=====

Record 3
## Hf3ZnIn (PBE)

Data for a relaxed Hf3ZnIn crystal.

CIF file:
```
data_Hf3ZnIn
_cell_length_a 6.8927
_cell_length_b 6.8927
_cell_length_c 5.3161
_cell_angle_alpha 90.00
_cell_angle_beta 90.00
_cell_angle_gamma 120.00
_symmetry_space_group_name_H-M 'P 63/m m c'
_symmetry_Int_Tables_number 194
_symmetry_space_group_name_Hall '-P 6c 2c'
loop_
_atom_site_label
_atom_site_type_symbol
_atom_site_fract_x
_atom_site_fract_y
_atom_site_fract_z
_atom_site_occupancy
Hf1 Hf 0.1896 0.3792 0.2500 1
Zn1 Zn 0.0000 0.0000 0.0000 1
In1 In 0.3333 0.6667 0.7500 1
```

- E_form (meV per atom) = 170
- energy above the most stable polymorph in this dataset (kJ/mol of formula units) = 0

=====

Record 4
## Hf12Zn2In5 (PBE)

Data for a relaxed Hf12Zn2In5 crystal.

CIF file:
```
data_Hf12Zn2In5
_cell_length_a 12.928
_cell_length_b 8.452
_cell_length_c 7.633
_cell_angle_alpha 90.00
_cell_angle_beta 90.90
_cell_angle_gamma 90.00
_symmetry_space_group_name_H-M 'C 1 2/m 1'
_symmetry_Int_Tables_number 12
_symmetry_space_group_name_Hall '-C 2y'
loop_
_atom_site_label
_atom_site_type_symbol
_atom_site_fract_x
_atom_site_fract_y
_atom_site_fract_z
_atom_site_occupancy
Hf1 Hf 0.068 0.000 0.184 1
Hf2 Hf 0.084 0.500 0.627 1
Hf3 Hf 0.112 0.192 0.863 1
Hf4 Hf 0.144 0.318 0.283 1
Zn1 Zn 0.000 0.190 0.500 1
In1 In 0.000 0.500 0.000 1
In2 In 0.183 0.000 0.528 1
In3 In 0.226 0.500 0.945 1
```

- E_form (meV per atom) = 25

=====

Calculated spin magnetization in order - 0.00; 0.00; 0.00; 0.00 μB/atom
Calculated raw total energy in order - -88.17; -55.67; -66.04; -270.40 eV for the cell shown